Entry from the Alexandria database: crystalline TbGe3Ru5 at its relaxed geometry (GGA-PBE).

Cell and atoms, written as POSCAR:
```
TbGe3Ru5
1.0
1.519 -6.741 0.000
1.519 6.741 0.000
0.000 0.000 14.247
Tb Ge Ru
2 6 10
direct
0.149 0.851 0.750 Tb
0.851 0.149 0.250 Tb
0.145 0.855 0.250 Ge
0.367 0.633 0.057 Ge
0.367 0.633 0.443 Ge
0.633 0.367 0.557 Ge
0.633 0.367 0.943 Ge
0.855 0.145 0.750 Ge
0.000 0.000 0.000 Ru
0.000 0.000 0.500 Ru
0.189 0.811 0.081 Ru
0.189 0.811 0.419 Ru
0.469 0.531 0.654 Ru
0.469 0.531 0.846 Ru
0.531 0.469 0.154 Ru
0.531 0.469 0.346 Ru
0.811 0.189 0.581 Ru
0.811 0.189 0.919 Ru
```

- formation energy (kcal/mol of atoms) = -4.67
- density (g cm⁻³) = 10.04
- E_tot (eV per formula unit) = -66.68
- symmetry = No. 63

---

Entry from the Alexandria database: crystalline TbGe2Ru4 at its relaxed geometry (GGA-PBE).

Cell and atoms, written as POSCAR:
```
TbGe2Ru4
1.0
4.025 0.000 0.000
0.000 14.410 0.000
0.000 0.000 3.988
Tb Ge Ru
2 4 8
direct
0.000 0.000 0.000 Tb
0.500 0.500 0.000 Tb
0.000 0.414 0.500 Ge
0.000 0.586 0.500 Ge
0.500 0.086 0.500 Ge
0.500 0.914 0.500 Ge
0.000 0.190 0.500 Ru
0.000 0.308 0.000 Ru
0.000 0.692 0.000 Ru
0.000 0.810 0.500 Ru
0.500 0.192 0.000 Ru
0.500 0.310 0.500 Ru
0.500 0.690 0.500 Ru
0.500 0.808 0.000 Ru
```

- formation energy (kcal/mol of atoms) = -9.74
- density (g cm⁻³) = 10.17
- E_tot (eV per formula unit) = -53.93
- symmetry = No. 65

---

Entry from the Alexandria database: crystalline Tb5GeRu2 at its relaxed geometry (GGA-PBE).

Cell and atoms, written as POSCAR:
```
Tb5GeRu2
1.0
-3.828 3.828 6.617
3.828 -3.828 6.617
3.828 3.828 -6.617
Tb Ge Ru
10 2 4
direct
0.000 0.000 0.000 Tb
0.023 0.523 0.824 Tb
0.199 0.023 0.500 Tb
0.301 0.801 0.824 Tb
0.477 0.301 0.500 Tb
0.500 0.500 0.000 Tb
0.523 0.699 0.500 Tb
0.699 0.199 0.176 Tb
0.801 0.977 0.500 Tb
0.977 0.477 0.176 Tb
0.250 0.250 0.000 Ge
0.750 0.750 0.000 Ge
0.138 0.362 0.500 Ru
0.362 0.862 0.224 Ru
0.638 0.138 0.776 Ru
0.862 0.638 0.500 Ru
```

- formation energy (kcal/mol of atoms) = -10.74
- density (g cm⁻³) = 9.15
- E_tot (eV per formula unit) = -50.05
- symmetry = No. 140

---

Entry from the Alexandria database: crystalline Tb12GeRu6 at its relaxed geometry (GGA-PBE).

Cell and atoms, written as POSCAR:
```
Tb12GeRu6
1.0
-4.910 4.910 4.910
4.910 -4.910 4.910
4.910 4.910 -4.910
Tb Ge Ru
12 1 6
direct
0.100 0.806 0.294 Tb
0.194 0.294 0.488 Tb
0.194 0.706 0.900 Tb
0.294 0.100 0.806 Tb
0.294 0.488 0.194 Tb
0.488 0.194 0.294 Tb
0.512 0.806 0.706 Tb
0.706 0.512 0.806 Tb
0.706 0.900 0.194 Tb
0.806 0.294 0.100 Tb
0.806 0.706 0.512 Tb
0.900 0.194 0.706 Tb
0.000 0.000 0.000 Ge
0.124 0.624 0.500 Ru
0.376 0.500 0.876 Ru
0.500 0.124 0.624 Ru
0.500 0.876 0.376 Ru
0.624 0.500 0.124 Ru
0.876 0.376 0.500 Ru
```

- formation energy (kcal/mol of atoms) = -6.81
- density (g cm⁻³) = 9.07
- E_tot (eV per formula unit) = -121.45
- symmetry = No. 204